The following is a PBE calculation of crystalline MgScSbI2 at its relaxed geometry, from Alexandria via LeMat-Bulk.

a = 5.5979 Å, b = 5.5979 Å, c = 5.8840 Å
α = 90.00°, β = 90.00°, γ = 90.00°
Positions (direct):
Mg 0.0000 0.0000 0.0000
Sc 0.5000 0.5000 0.5000
Sb 0.5000 0.5000 0.0000
I 0.0000 0.5000 0.5000
I 0.5000 0.0000 0.5000

Computed properties:
Excess energy over the best structure of this formula in the dataset   0.0 meV per atom
Uncorrected formation energy   -0.290 eV per atom
Magnetic moment   0.00 μB/f.u.
Space group   P4/mmm